A geometry-optimized POsSCl2 structure, computed with GGA-PBEsol.

Values from the calculation:
Its crystal system is tetragonal. The uncorrected formation energy comes out at 756.5 meV/atom.

The structure in POSCAR format:
```
POsSCl2
1.0
4.770 0.000 0.000
0.000 4.770 0.000
0.000 0.000 4.442
P Os S Cl
1 1 1 2
direct
0.000 0.000 0.000
0.500 0.500 0.500
0.500 0.500 0.000
0.000 0.500 0.500
0.500 0.000 0.500
```


A geometry-optimized ScP2OsCl structure, computed with GGA-PBEsol.

Values from the calculation:
Its crystal system is tetragonal. The uncorrected formation energy comes out at 1104.3 meV/atom.

The structure in POSCAR format:
```
ScP2OsCl
1.0
4.906 0.000 0.000
0.000 4.906 0.000
0.000 0.000 4.534
Sc P Os Cl
1 2 1 1
direct
0.000 0.000 0.000
0.000 0.500 0.000
0.500 0.000 0.000
0.500 0.500 0.500
0.000 0.000 0.500
```